Entry from the Open Quantum Materials Database: a relaxed structure of Li2Nb2Se3O (PBE-GGA).

Theoretical density in kg/m³: 5826
Raw total energy in eV per atom: -6.149

```
8
Lattice="-3.154 1.128 -0.124 0.612 -3.170 0.902 0.849 3.772 12.682" Properties=species:S:1:pos:R:3 pbc="T T T"
Nb 0.013 1.179 10.365
Nb -0.436 -0.817 3.655
Se 0.547 2.428 8.165
Se -1.580 1.110 4.972
Se -1.802 0.124 1.658
O 0.737 3.273 11.005
Li 0.186 1.948 12.950
Li -0.214 0.171 6.974
```



Entry from the Open Quantum Materials Database: a relaxed structure of NaYHgS3 (PBE-GGA).

ΔE to the lowest computed polymorph in meV/atom: 0
Theoretical density in kg/m³: 4586
Raw total energy in eV per atom: -4.559

```
24
Lattice="10.825 0.000 0.000 0.000 4.058 0.000 0.000 0.000 13.473" Properties=species:S:1:pos:R:3 pbc="T T T"
S 10.476 3.043 5.114
S 5.063 3.043 1.623
S 6.022 3.043 5.273
S 4.803 1.014 8.201
S 8.035 3.043 9.122
S 8.203 1.014 2.385
S 0.610 3.043 1.464
S 5.763 1.014 11.850
S 0.350 1.014 8.360
S 2.622 3.043 11.089
S 10.216 1.014 12.009
S 2.791 1.014 4.352
Hg 2.622 1.014 9.320
Hg 2.791 3.043 2.583
Hg 8.203 3.043 4.153
Hg 8.035 1.014 10.890
Na 3.114 1.014 13.146
Na 7.711 3.043 0.328
Na 8.527 1.014 7.065
Na 2.298 3.043 6.409
Y 5.327 3.043 9.985
Y 5.498 1.014 3.489
Y 10.740 3.043 10.225
Y 0.085 1.014 3.248
```



Entry from the Open Quantum Materials Database: a relaxed structure of CoAgSnSe3 (PBE-GGA).

Theoretical density in kg/m³: 6363
Raw total energy in eV per atom: -4.264

```
12
Lattice="1.419 1.235 7.638 -4.598 -2.059 -6.042 2.886 -9.272 0.963" Properties=species:S:1:pos:R:3 pbc="T T T"
Co -0.146 -5.048 1.280
Co -1.589 -0.412 0.798
Ag -2.744 -3.757 -3.225
Ag 2.451 -6.339 5.785
Se 3.631 -8.167 7.192
Se -1.070 -2.840 0.580
Se 2.316 -3.940 6.753
Se 0.777 -7.256 1.979
Se -3.924 -1.929 -4.632
Se -2.608 -6.156 -4.193
Sn 1.144 -1.629 5.612
Sn -1.436 -8.467 -3.052
```



Entry from the Open Quantum Materials Database: a relaxed structure of B4MoPd (PBE-GGA).

ΔE to the lowest computed polymorph in meV/atom: 90
Theoretical density in kg/m³: 7394
Raw total energy in eV per atom: -7.076

```
6
Lattice="-1.512 2.633 3.464 1.512 -2.633 3.464 1.512 2.633 -3.464" Properties=species:S:1:pos:R:3 pbc="T T T"
Pd 0.000 0.000 0.000
B 1.512 0.910 1.797
B 0.000 1.723 1.667
B 1.512 -0.910 1.797
B 0.000 3.543 1.667
Mo 0.000 0.000 3.464
```



Entry from the Open Quantum Materials Database: a relaxed structure of HfTlFePd (PBE-GGA).

ΔE to the lowest computed polymorph in meV/atom: 207
Theoretical density in kg/m³: 13008
Raw total energy in eV per atom: -6.351

```
4
Lattice="-4.041 1.719 1.424 -0.907 4.497 -0.519 -3.140 1.380 -3.091" Properties=species:S:1:pos:R:3 pbc="T T T"
Hf -2.022 1.899 -0.547
Tl 0.000 0.000 0.000
Pd -4.044 3.798 -1.093
Fe -6.066 5.697 -1.640
```



Entry from the Open Quantum Materials Database: a relaxed structure of Ho5Cu2Te (PBE-GGA).

Theoretical density in kg/m³: 9046
Raw total energy in eV per atom: -4.640

```
16
Lattice="6.189 -4.523 3.550 -4.906 -5.974 3.408 -0.184 2.206 -8.152" Properties=species:S:1:pos:R:3 pbc="T T T"
Ho -1.863 -7.670 3.506
Ho 2.963 -0.621 -4.701
Ho 2.129 -8.095 2.128
Ho -1.030 -0.195 -3.323
Ho 0.642 -5.248 3.479
Ho 3.322 -3.554 -2.757
Ho 0.000 0.000 0.000
Ho -2.222 -4.736 1.562
Ho 1.770 -5.161 0.183
Ho -0.671 -3.129 -1.378
Te 0.321 -2.624 1.739
Te 0.963 -7.872 5.218
Cu 3.522 -5.592 2.429
Cu -0.418 -6.938 1.125
Cu 1.517 -1.352 -2.320
Cu -2.422 -2.698 -3.624
```



Entry from the Open Quantum Materials Database: a relaxed structure of CsRbIr (PBE-GGA).

ΔE to the lowest computed polymorph in meV/atom: 9
Theoretical density in kg/m³: 5254
Raw total energy in eV per atom: -2.358

```
3
Lattice="0.000 4.018 4.018 4.018 0.000 4.018 4.018 4.018 0.000" Properties=species:S:1:pos:R:3 pbc="T T T"
Ir 2.009 2.009 2.009
Rb 6.028 6.028 6.028
Cs 0.000 0.000 0.000
```



Entry from the Open Quantum Materials Database: a relaxed structure of ErSbN2O (PBE-GGA).

Theoretical density in kg/m³: 8051
Raw total energy in eV per atom: -6.910

```
5
Lattice="-0.986 -2.522 -2.449 -1.183 -2.191 2.732 -4.620 2.114 -0.305" Properties=species:S:1:pos:R:3 pbc="T T T"
N -3.450 -2.760 -1.207
N -5.526 -0.333 -0.159
O -2.333 -0.418 -1.345
Er -1.549 -2.260 -2.483
Sb -3.737 -1.143 -0.034
```



Entry from the Open Quantum Materials Database: a relaxed structure of SnIr17 (PBE-GGA).

ΔE to the lowest computed polymorph in meV/atom: 2
Theoretical density in kg/m³: 13101
Raw total energy in eV per atom: -8.460

```
36
Lattice="5.461 0.000 0.000 -2.730 4.729 0.000 0.000 0.000 33.242" Properties=species:S:1:pos:R:3 pbc="T T T"
Ir 4.088 2.360 9.907
Ir 4.096 0.788 12.136
Ir 2.730 3.153 12.136
Ir -1.365 3.941 21.106
Ir 2.730 0.009 9.907
Ir 0.000 3.153 18.861
Ir 0.000 0.000 23.364
Ir 0.000 1.576 21.106
Ir 2.730 1.576 14.381
Ir 1.365 3.941 21.106
Ir 2.730 0.000 16.621
Ir 1.367 0.789 18.863
Ir 0.000 0.000 9.878
Ir 1.373 2.360 9.907
Ir 1.363 3.940 14.379
Ir 0.000 3.153 12.149
Ir 4.093 0.789 18.863
Ir 1.370 3.944 7.727
Ir 2.730 3.150 18.863
Ir 0.000 4.720 23.335
Ir -1.358 2.369 23.335
Ir -1.370 3.944 7.727
Ir 0.000 1.579 14.379
Ir 0.000 0.000 16.621
Ir 1.360 0.785 25.515
Ir -1.363 3.940 14.379
Ir 1.365 2.365 16.621
Ir 1.365 0.788 12.136
Ir 4.100 0.785 25.515
Ir 2.730 3.158 25.515
Ir 2.730 1.576 21.093
Ir 0.000 1.571 7.727
Ir 1.358 2.369 23.335
Ir -1.365 2.365 16.621
Sn 0.000 3.153 26.159
Sn 2.730 1.576 7.082
```



Entry from the Open Quantum Materials Database: a relaxed structure of HoHgOs (PBE-GGA).

E_form in eV/f.u.: 1.1
ΔE to the lowest computed polymorph in meV/atom: 0
Theoretical density in kg/m³: 12952
Raw total energy in eV per atom: -4.997

```
3
Lattice="-2.197 -3.773 1.609 -1.673 -0.044 4.342 -4.595 0.115 0.724" Properties=species:S:1:pos:R:3 pbc="T T T"
Ho -6.349 -2.777 5.006
Hg -2.116 -0.926 1.669
Os 0.000 0.000 0.000
```



Entry from the Open Quantum Materials Database: a relaxed structure of Tb2Tl2O5 (PBE-GGA).

ΔE to the lowest computed polymorph in meV/atom: 721
Theoretical density in kg/m³: 10198
Raw total energy in eV per atom: -5.635

```
9
Lattice="7.054 0.000 0.000 0.000 4.315 0.000 0.000 0.000 4.315" Properties=species:S:1:pos:R:3 pbc="T T T"
Tl 5.693 2.158 2.158
Tl 1.360 2.158 2.158
O 3.527 2.158 2.158
O 5.314 0.000 2.158
O 1.739 2.158 0.000
O 5.314 2.158 0.000
O 1.739 0.000 2.158
Tb 0.000 0.000 0.000
Tb 3.527 0.000 0.000
```



Entry from the Open Quantum Materials Database: a relaxed structure of NbZnGaCo (PBE-GGA).

ΔE to the lowest computed polymorph in meV/atom: 0
Theoretical density in kg/m³: 8420
Raw total energy in eV per atom: -5.452

```
4
Lattice="0.000 3.047 3.047 3.047 0.000 3.047 3.047 3.047 0.000" Properties=species:S:1:pos:R:3 pbc="T T T"
Zn 1.524 1.524 1.524
Co 4.571 4.571 4.571
Nb 3.047 3.047 3.047
Ga 0.000 0.000 0.000
```



Entry from the Open Quantum Materials Database: a relaxed structure of TlZnSi (PBE-GGA).

ΔE to the lowest computed polymorph in meV/atom: 222
Theoretical density in kg/m³: 6963
Raw total energy in eV per atom: -2.391

```
3
Lattice="0.000 3.287 3.287 3.287 0.000 3.287 3.287 3.287 0.000" Properties=species:S:1:pos:R:3 pbc="T T T"
Tl 0.000 0.000 0.000
Si 1.644 1.644 1.644
Zn 4.931 4.931 4.931
```